Entry 1:
The following is a DFT calculation (GGA-PBE) of a relaxed structure of K3HfTl.

Results
calculated formation energy	1.15	eV/atom
M_tot	2.2	μB/cell
density of states at the Fermi level	11.8	states/eV/f.u.
calculated volume	282.8	Å³ per cell
energy relative to the lowest polymorph listed for this composition	0.0	kJ/mol of atoms

The structure in CIF format:
```
data_K3HfTl
_chemical_formula_sum 'K3 Hf1 Tl1'
_cell_length_a 6.564
_cell_length_b 6.564
_cell_length_c 6.564
_cell_angle_alpha 90.00
_cell_angle_beta 90.00
_cell_angle_gamma 90.00
_symmetry_space_group_name_H-M 'P m -3 m'
_symmetry_Int_Tables_number 221
_symmetry_space_group_name_Hall '-P 4 2 3'
loop_
_atom_site_label
_atom_site_type_symbol
_atom_site_fract_x
_atom_site_fract_y
_atom_site_fract_z
K1 K 0.000 0.000 0.500
Hf1 Hf 0.500 0.500 0.500
Tl1 Tl 0.000 0.000 0.000
```

Entry 2:
The following is a DFT calculation (GGA-PBE) of a relaxed structure of KHfTl.

Results
calculated formation energy	0.09	eV/atom
M_tot	0.0	μB/cell
density of states at the Fermi level	2.1	states/eV/f.u.
calculated volume	194.5	Å³ per cell
energy relative to the lowest polymorph listed for this composition	0.0	kJ/mol of atoms

The structure in CIF format:
```
data_KHfTl
_chemical_formula_sum 'K2 Hf2 Tl2'
_cell_length_a 3.393
_cell_length_b 4.118
_cell_length_c 13.920
_cell_angle_alpha 89.91
_cell_angle_beta 89.81
_cell_angle_gamma 90.00
_symmetry_space_group_name_H-M 'P -1'
_symmetry_Int_Tables_number 2
loop_
_symmetry_equiv_pos_as_xyz
'x,y,z'
'-x,-y,-z'
loop_
_atom_site_label
_atom_site_type_symbol
_atom_site_fract_x
_atom_site_fract_y
_atom_site_fract_z
K1 K 0.245 0.248 0.353
Hf1 Hf 0.249 0.250 0.058
Tl1 Tl 0.253 0.251 0.825
```

Entry 3:
The following is a DFT calculation (GGA-PBE) of a relaxed structure of KHfTl.

Results
calculated formation energy	0.22	eV/atom
M_tot	0.0	μB/cell
density of states at the Fermi level	2.1	states/eV/f.u.
calculated volume	216.0	Å³ per cell
energy relative to the lowest polymorph listed for this composition	12.4	kJ/mol of atoms

The structure in CIF format:
```
data_KHfTl
_chemical_formula_sum 'K2 Hf2 Tl2'
_cell_length_a 3.409
_cell_length_b 4.950
_cell_length_c 12.803
_cell_angle_alpha 89.94
_cell_angle_beta 88.75
_cell_angle_gamma 90.00
_symmetry_space_group_name_H-M 'P 1'
_symmetry_Int_Tables_number 1
loop_
_symmetry_equiv_pos_as_xyz
'x,y,z'
loop_
_atom_site_label
_atom_site_type_symbol
_atom_site_fract_x
_atom_site_fract_y
_atom_site_fract_z
K1 K 0.000 0.000 0.000
K2 K 0.464 0.501 0.707
Hf1 Hf 0.463 0.499 0.429
Hf2 Hf 0.979 0.500 0.244
Tl1 Tl 0.478 0.000 0.255
Tl2 Tl 0.959 0.999 0.489
```

Entry 4:
The following is a DFT calculation (GGA-PBE) of a relaxed structure of KHfTl.

Results
calculated formation energy	0.22	eV/atom
M_tot	0.0	μB/cell
density of states at the Fermi level	1.8	states/eV/f.u.
calculated volume	440.2	Å³ per cell
energy relative to the lowest polymorph listed for this composition	12.1	kJ/mol of atoms

The structure in CIF format:
```
data_KHfTl
_chemical_formula_sum 'K4 Hf4 Tl4'
_cell_length_a 25.595
_cell_length_b 4.979
_cell_length_c 3.454
_cell_angle_alpha 90.00
_cell_angle_beta 90.44
_cell_angle_gamma 90.00
_symmetry_space_group_name_H-M 'C 1 2 1'
_symmetry_Int_Tables_number 5
loop_
_symmetry_equiv_pos_as_xyz
'x,y,z'
'-x,y,-z'
'x+1/2,y+1/2,z'
'-x+1/2,y+1/2,-z'
loop_
_atom_site_label
_atom_site_type_symbol
_atom_site_fract_x
_atom_site_fract_y
_atom_site_fract_z
K1 K 0.177 0.000 0.260
Hf1 Hf 0.046 0.503 0.252
Tl1 Tl 0.055 0.003 0.753
```

Entry 5:
The following is a DFT calculation (GGA-PBE) of a relaxed structure of KHfTl.

Results
calculated formation energy	0.37	eV/atom
M_tot	0.0	μB/cell
density of states at the Fermi level	2.6	states/eV/f.u.
calculated volume	204.5	Å³ per cell
energy relative to the lowest polymorph listed for this composition	26.6	kJ/mol of atoms

The structure in CIF format:
```
data_KHfTl
_chemical_formula_sum 'K2 Hf2 Tl2'
_cell_length_a 3.321
_cell_length_b 5.543
_cell_length_c 11.720
_cell_angle_alpha 83.32
_cell_angle_beta 87.46
_cell_angle_gamma 72.65
_symmetry_space_group_name_H-M 'P 1'
_symmetry_Int_Tables_number 1
loop_
_symmetry_equiv_pos_as_xyz
'x,y,z'
loop_
_atom_site_label
_atom_site_type_symbol
_atom_site_fract_x
_atom_site_fract_y
_atom_site_fract_z
K1 K 0.000 0.000 0.000
K2 K 0.402 0.426 0.278
Hf1 Hf 0.142 0.877 0.498
Hf2 Hf 0.855 0.425 0.572
Tl1 Tl 0.278 0.500 0.832
Tl2 Tl 0.561 0.971 0.708
```

Entry 6:
The following is a DFT calculation (GGA-PBE) of a relaxed structure of KHfTl.

Results
calculated formation energy	0.99	eV/atom
M_tot	0.0	μB/cell
density of states at the Fermi level	6.7	states/eV/f.u.
calculated volume	404.8	Å³ per cell
energy relative to the lowest polymorph listed for this composition	86.5	kJ/mol of atoms

The structure in CIF format:
```
data_KHfTl
_chemical_formula_sum 'K4 Hf4 Tl4'
_cell_length_a 7.397
_cell_length_b 7.397
_cell_length_c 7.397
_cell_angle_alpha 90.00
_cell_angle_beta 90.00
_cell_angle_gamma 90.00
_symmetry_space_group_name_H-M 'F -4 3 m'
_symmetry_Int_Tables_number 216
_symmetry_space_group_name_Hall 'F -4 2 3'
loop_
_atom_site_label
_atom_site_type_symbol
_atom_site_fract_x
_atom_site_fract_y
_atom_site_fract_z
K1 K 0.000 0.000 0.000
Hf1 Hf 0.000 0.000 0.500
Tl1 Tl 0.250 0.250 0.250
```

Entry 7:
The following is a DFT calculation (GGA-PBE) of a relaxed structure of KHfV2.

Results
calculated formation energy	1.68	eV/atom
M_tot	0.0	μB/cell
density of states at the Fermi level	5.4	states/eV/f.u.
calculated volume	417.2	Å³ per cell
energy relative to the lowest polymorph listed for this composition	26.6	kJ/mol of atoms

The structure in CIF format:
```
data_KHfV2
_chemical_formula_sum 'K4 Hf4 V8'
_cell_length_a 4.594
_cell_length_b 4.594
_cell_length_c 19.767
_cell_angle_alpha 90.00
_cell_angle_beta 90.00
_cell_angle_gamma 90.00
_symmetry_space_group_name_H-M 'I -4 2 d'
_symmetry_Int_Tables_number 122
_symmetry_space_group_name_Hall 'I -4 2bw'
loop_
_atom_site_label
_atom_site_type_symbol
_atom_site_fract_x
_atom_site_fract_y
_atom_site_fract_z
K1 K 0.000 0.000 0.000
Hf1 Hf 0.000 0.000 0.500
V1 V 0.046 0.250 0.625
```

Entry 8:
The following is a DFT calculation (GGA-PBE) of a relaxed structure of K2Hf2V.

Results
calculated formation energy	1.31	eV/atom
M_tot	8.5	μB/cell
density of states at the Fermi level	10.2	states/eV/f.u.
calculated volume	374.7	Å³ per cell
energy relative to the lowest polymorph listed for this composition	0.0	kJ/mol of atoms

The structure in CIF format:
```
data_K2Hf2V
_chemical_formula_sum 'K4 Hf4 V2'
_cell_length_a 3.889
_cell_length_b 3.889
_cell_length_c 24.772
_cell_angle_alpha 90.00
_cell_angle_beta 90.00
_cell_angle_gamma 90.00
_symmetry_space_group_name_H-M 'I 4/m m m'
_symmetry_Int_Tables_number 139
_symmetry_space_group_name_Hall '-I 4 2'
loop_
_atom_site_label
_atom_site_type_symbol
_atom_site_fract_x
_atom_site_fract_y
_atom_site_fract_z
K1 K 0.000 0.000 0.109
Hf1 Hf 0.000 0.500 0.250
V1 V 0.000 0.000 0.500
```

Entry 9:
The following is a DFT calculation (GGA-PBE) of a relaxed structure of K2Hf2V.

Results
calculated formation energy	1.87	eV/atom
M_tot	5.9	μB/cell
density of states at the Fermi level	6.0	states/eV/f.u.
calculated volume	305.4	Å³ per cell
energy relative to the lowest polymorph listed for this composition	54.2	kJ/mol of atoms

The structure in CIF format:
```
data_K2Hf2V
_chemical_formula_sum 'K4 Hf4 V2'
_cell_length_a 10.120
_cell_length_b 10.120
_cell_length_c 2.982
_cell_angle_alpha 90.00
_cell_angle_beta 90.00
_cell_angle_gamma 90.00
_symmetry_space_group_name_H-M 'P 4/m b m'
_symmetry_Int_Tables_number 127
_symmetry_space_group_name_Hall '-P 4 2ab'
loop_
_atom_site_label
_atom_site_type_symbol
_atom_site_fract_x
_atom_site_fract_y
_atom_site_fract_z
K1 K 0.110 0.390 0.000
Hf1 Hf 0.193 0.693 0.500
V1 V 0.000 0.000 0.000
```

Entry 10:
The following is a DFT calculation (GGA-PBE) of a relaxed structure of KHfV2.

Results
calculated formation energy	1.40	eV/atom
M_tot	24.6	μB/cell
density of states at the Fermi level	7.1	states/eV/f.u.
calculated volume	356.2	Å³ per cell
energy relative to the lowest polymorph listed for this composition	0.0	kJ/mol of atoms

The structure in CIF format:
```
data_KHfV2
_chemical_formula_sum 'K4 Hf4 V8'
_cell_length_a 7.089
_cell_length_b 7.089
_cell_length_c 7.089
_cell_angle_alpha 90.00
_cell_angle_beta 90.00
_cell_angle_gamma 90.00
_symmetry_space_group_name_H-M 'F m -3 m'
_symmetry_Int_Tables_number 225
_symmetry_space_group_name_Hall '-F 4 2 3'
loop_
_atom_site_label
_atom_site_type_symbol
_atom_site_fract_x
_atom_site_fract_y
_atom_site_fract_z
K1 K 0.000 0.000 0.000
Hf1 Hf 0.000 0.000 0.500
V1 V 0.250 0.250 0.250
```

Entry 11:
The following is a DFT calculation (GGA-PBE) of a relaxed structure of KHf2W.

Results
calculated formation energy	1.65	eV/atom
M_tot	0.0	μB/cell
density of states at the Fermi level	3.1	states/eV/f.u.
calculated volume	695.0	Å³ per cell
energy relative to the lowest polymorph listed for this composition	52.8	kJ/mol of atoms

The structure in CIF format:
```
data_KHf2W
_chemical_formula_sum 'K4 Hf8 W4'
_cell_length_a 7.204
_cell_length_b 7.204
_cell_length_c 13.391
_cell_angle_alpha 90.00
_cell_angle_beta 90.00
_cell_angle_gamma 90.00
_symmetry_space_group_name_H-M 'I 41/a m d'
_symmetry_Int_Tables_number 141
loop_
_symmetry_equiv_pos_as_xyz
'x,y,z'
'-x,-y,-z'
'-y+1/4,x+3/4,z+1/4'
'y+1/4,-x+3/4,-z+1/4'
'-x+1/2,-y,z+1/2'
'x+1/2,y,-z+1/2'
'y+1/4,-x+1/4,z+3/4'
'-y+1/4,x+1/4,-z+3/4'
'x,-y,-z'
'-x,y,z'
'-y+1/4,-x+1/4,-z+3/4'
'y+1/4,x+1/4,z+3/4'
'-x+1/2,y,-z+1/2'
'x+1/2,-y,z+1/2'
'y+1/4,x+3/4,-z+1/4'
'-y+1/4,-x+3/4,z+1/4'
'x+1/2,y+1/2,z+1/2'
'-x+1/2,-y+1/2,-z+1/2'
'-y+3/4,x+1/4,z+3/4'
'y+3/4,-x+1/4,-z+3/4'
'-x,-y+1/2,z'
'x,y+1/2,-z'
'y+3/4,-x+3/4,z+1/4'
'-y+3/4,x+3/4,-z+1/4'
'x+1/2,-y+1/2,-z+1/2'
'-x+1/2,y+1/2,z+1/2'
'-y+3/4,-x+3/4,-z+1/4'
'y+3/4,x+3/4,z+1/4'
'-x,y+1/2,-z'
'x,-y+1/2,z'
'y+3/4,x+1/4,-z+3/4'
'-y+3/4,-x+1/4,z+3/4'
loop_
_atom_site_label
_atom_site_type_symbol
_atom_site_fract_x
_atom_site_fract_y
_atom_site_fract_z
K1 K 0.000 0.250 0.375
Hf1 Hf 0.000 0.000 0.000
W1 W 0.000 0.250 0.875
```

Entry 12:
The following is a DFT calculation (GGA-PBE) of a relaxed structure of K2Hf2W.

Results
calculated formation energy	2.09	eV/atom
M_tot	0.0	μB/cell
density of states at the Fermi level	8.8	states/eV/f.u.
calculated volume	253.8	Å³ per cell
energy relative to the lowest polymorph listed for this composition	0.0	kJ/mol of atoms

The structure in CIF format:
```
data_K2Hf2W
_chemical_formula_sum 'K4 Hf4 W2'
_cell_length_a 9.504
_cell_length_b 9.504
_cell_length_c 2.810
_cell_angle_alpha 90.00
_cell_angle_beta 90.00
_cell_angle_gamma 90.00
_symmetry_space_group_name_H-M 'P 4/m b m'
_symmetry_Int_Tables_number 127
_symmetry_space_group_name_Hall '-P 4 2ab'
loop_
_atom_site_label
_atom_site_type_symbol
_atom_site_fract_x
_atom_site_fract_y
_atom_site_fract_z
K1 K 0.108 0.392 0.000
Hf1 Hf 0.197 0.697 0.500
W1 W 0.000 0.000 0.000
```